Entry 1:
Compound: BaZn2Mo
Source: Alexandria
Functional: GGA-PBEsol
Structure: relaxed

Lattice parameters (Å, degrees): 6.7435 7.9645 2.9328 90.00 90.00 90.00
Space group Cmmm (No. 65)
Symmetry-distinct sites (fractional):
1 Ba 0.0000 0.0000 0.0000 (multiplicity 2)
2 Zn 0.2500 0.2500 0.5000 (multiplicity 4)
3 Mo 0.0000 0.5000 0.0000 (multiplicity 2)

Results
uncorrected energy	-3.61	eV per atom
energy of formation	661	meV/atom



Entry 2:
Compound: BaZnMo2
Source: Alexandria
Functional: GGA-PBEsol
Structure: relaxed

Lattice parameters (Å, degrees): 9.6406 3.2909 5.8868 90.00 100.59 90.00
Space group C2/m (No. 12)
Symmetry-distinct sites (fractional):
1 Ba 0.0000 0.0000 0.0000 (multiplicity 2)
2 Zn 0.0000 0.5000 0.5000 (multiplicity 2)
3 Mo 0.2172 0.0000 0.6232 (multiplicity 4)

Results
uncorrected energy	-6.13	eV per atom
energy of formation	685	meV/atom



Entry 3:
Compound: BaZn2Mo
Source: Alexandria
Functional: GGA-PBEsol
Structure: relaxed

Lattice parameters (Å, degrees): 5.2054 5.2054 2.9168 90.00 90.00 90.00
Space group P4/mmm (No. 123)
Symmetry-distinct sites (fractional):
1 Ba 0.0000 0.0000 0.0000 (multiplicity 1)
2 Zn 0.0000 0.5000 0.5000 (multiplicity 2)
3 Mo 0.5000 0.5000 0.0000 (multiplicity 1)

Results
uncorrected energy	-3.60	eV per atom
energy of formation	667	meV/atom



Entry 4:
Compound: BaZnMo2
Source: Alexandria
Functional: GGA-PBEsol
Structure: relaxed

Lattice parameters (Å, degrees): 4.0760 4.0760 4.7563 90.00 90.00 90.00
Space group P4/mmm (No. 123)
Symmetry-distinct sites (fractional):
1 Ba 0.0000 0.0000 0.0000 (multiplicity 1)
2 Zn 0.5000 0.5000 0.0000 (multiplicity 1)
3 Mo 0.0000 0.5000 0.5000 (multiplicity 2)

Results
uncorrected energy	-5.51	eV per atom
energy of formation	1302	meV/atom